PBE PuNpAl, optimized geometry; polymorph energy (0 for the lowest one) = 207 meV per atom
1.0
4.925 0.000 0.000
-2.462 4.265 0.000
0.000 0.000 2.432
Pu Np Al
1 1 1
Cartesian
0.000 0.000 0.000 Pu
0.000 2.843 0.642 Np
2.462 1.422 1.548 Al

=====

PBE Pu3NpAl8, optimized geometry; DOS(E_F) = 36.393 states/eV per cell
1.0
5.581 0.000 0.000
-2.790 4.833 0.000
0.000 0.000 8.529
Pu Np Al
3 1 8
Cartesian
0.000 0.000 0.000 Pu
0.000 0.000 2.741 Pu
0.000 3.222 6.940 Pu
0.000 3.222 4.308 Np
-1.331 2.454 1.371 Al
1.333 0.769 5.627 Al
1.331 2.454 1.371 Al
0.000 4.759 1.371 Al
2.790 1.611 3.501 Al
2.790 1.611 7.764 Al
4.248 0.769 5.627 Al
2.790 3.294 5.627 Al

=====

PBE Pu2NpAl9, optimized geometry; DOS(E_F) = 24.705 states/eV per cell
1.0
2.746 1.586 8.830
-2.746 1.586 8.830
0.000 -3.171 8.830
Pu Np Al
2 1 9
Cartesian
0.000 0.000 3.777 Pu
0.000 0.000 22.713 Pu
0.000 0.000 0.000 Np
-1.396 -0.806 11.025 Al
0.000 0.000 8.860 Al
0.000 -1.611 15.466 Al
-1.396 0.806 15.466 Al
0.000 0.000 13.245 Al
1.396 -0.806 11.025 Al
0.000 1.611 11.025 Al
0.000 0.000 17.630 Al
1.396 0.806 15.466 Al

=====

PBE PuNpAl, optimized geometry; polymorph energy (0 for the lowest one) = 0 meV per atom; DOS(E_F) = 5.831 states/eV per cell
1.0
-1.672 1.672 4.910
1.672 -1.672 4.910
1.672 1.672 -4.910
Pu Np Al
1 1 1
Cartesian
0.000 0.000 0.000 Pu
0.000 0.000 5.838 Np
0.000 0.000 2.927 Al

=====

PBE Rb3Np3AlS8, optimized geometry; E_form (uncorrected) = -1.28 eV per atom; DOS(E_F) = 26.408 states/eV per cell
1.0
3.983 2.300 7.803
-3.983 2.300 7.803
0.000 -4.599 7.803
Rb Np Al S
3 3 1 8
Cartesian
-1.992 -1.150 7.803 Rb
-1.992 1.150 15.607 Rb
0.000 2.300 7.803 Rb
-3.983 0.000 11.705 Np
-1.992 1.150 3.902 Np
1.992 1.150 3.902 Np
0.000 0.000 11.705 Al
0.000 0.000 5.391 S
-1.837 -1.060 13.075 S
0.000 -2.121 10.335 S
-1.837 1.060 10.335 S
1.837 -1.060 13.075 S
0.000 2.121 13.075 S
1.837 1.060 10.335 S
0.000 0.000 18.019 S

=====

PBE Rb2NpAlS5, optimized geometry; E_form (uncorrected) = -1.17 eV per atom; DOS(E_F) = 10.781 states/eV per cell
1.0
1.998 -9.488 0.000
1.998 9.488 0.000
0.000 0.000 14.453
Rb Np Al S
4 2 2 10
Cartesian
1.998 7.429 7.226 Rb
1.998 7.074 2.081 Rb
1.998 -7.074 9.308 Rb
1.998 -7.429 0.000 Rb
1.998 5.613 12.245 Np
1.998 -5.613 5.019 Np
1.998 1.318 3.555 Al
1.998 -1.318 10.781 Al
1.998 8.332 12.117 S
1.998 3.875 6.710 S
1.998 3.615 3.194 S
1.998 3.196 11.978 S
1.998 0.146 1.768 S
1.998 -0.146 8.994 S
1.998 -3.196 4.752 S
1.998 -3.615 10.420 S
1.998 -3.875 13.936 S
1.998 -8.332 4.891 S

=====

PBE Rb4Np3AlS8, optimized geometry; E_form (uncorrected) = -1.24 eV per atom; DOS(E_F) = 27.138 states/eV per cell
1.0
4.052 2.339 7.620
-4.052 2.339 7.620
0.000 -4.679 7.620
Rb Np Al S
4 3 1 8
Cartesian
0.000 0.000 0.000 Rb
-2.026 -1.170 7.620 Rb
-2.026 1.170 15.240 Rb
0.000 2.339 7.620 Rb
-4.052 0.000 11.430 Np
-2.026 1.170 3.810 Np
2.026 1.170 3.810 Np
0.000 0.000 11.430 Al
0.000 0.000 5.276 S
-1.884 -1.088 12.809 S
0.000 -2.175 10.051 S
-1.884 1.088 10.051 S
1.884 -1.088 12.809 S
0.000 2.175 12.809 S
1.884 1.088 10.051 S
0.000 0.000 17.583 S

=====

PBE Rb4Np3AlSe8, optimized geometry; E_form (uncorrected) = -1.13 eV per atom; DOS(E_F) = 27.048 states/eV per cell
1.0
4.246 2.451 7.922
-4.246 2.451 7.922
0.000 -4.903 7.922
Rb Np Al Se
4 3 1 8
Cartesian
0.000 0.000 0.000 Rb
-2.123 -1.226 7.922 Rb
-2.123 1.226 15.844 Rb
0.000 2.451 7.922 Rb
-4.246 0.000 11.883 Np
-2.123 1.226 3.961 Np
2.123 1.226 3.961 Np
0.000 0.000 11.883 Al
0.000 0.000 5.521 Se
-1.995 -1.152 13.351 Se
0.000 -2.304 10.415 Se
-1.995 1.152 10.415 Se
1.995 -1.152 13.351 Se
0.000 2.304 13.351 Se
1.995 1.152 10.415 Se
0.000 0.000 18.245 Se

=====

PBE Rb2NpAlSe4, optimized geometry; E_form (uncorrected) = -0.97 eV per atom; DOS(E_F) = 14.065 states/eV per cell
1.0
-4.294 4.435 6.175
4.294 -4.435 6.175
4.294 4.435 -6.175
Rb Np Al Se
4 2 2 8
Cartesian
0.000 0.000 0.000 Rb
-2.147 2.218 3.088 Rb
0.000 4.435 0.000 Rb
2.147 2.218 3.088 Rb
4.294 0.000 0.000 Np
0.000 0.000 6.175 Np
2.147 2.218 -3.088 Al
2.147 -2.218 3.088 Al
4.294 -0.470 2.908 Se
4.294 3.965 -2.908 Se
2.409 2.218 -0.355 Se
6.179 2.218 -0.355 Se
-1.885 2.218 6.530 Se
1.885 2.218 6.530 Se
0.000 0.470 9.083 Se
0.000 4.905 3.267 Se

=====

PBE Rb3Np3AlTe8, optimized geometry; E_form (uncorrected) = -0.74 eV per atom; DOS(E_F) = 19.982 states/eV per cell
1.0
7.766 -4.477 0.000
7.766 4.477 0.000
-5.175 0.000 8.696
Rb Np Al Te
3 3 1 8
Cartesian
0.000 0.000 0.000 Rb
3.883 2.239 0.000 Rb
3.883 -2.239 0.000 Rb
1.296 2.239 4.348 Np
1.296 -2.239 4.348 Np
5.179 0.000 4.348 Np
-2.587 0.000 4.348 Al
3.971 2.388 5.955 Te
-0.141 0.000 5.958 Te
6.387 2.388 2.741 Te
2.586 0.000 2.593 Te
7.772 0.000 6.103 Te
3.971 -2.388 5.955 Te
10.499 0.000 2.738 Te
6.387 -2.388 2.741 Te

=====

PBE NpAl2Re, optimized geometry; DOS(E_F) = 6.197 states/eV per cell
1.0
0.000 3.257 3.257
3.257 0.000 3.257
3.257 3.257 0.000
Np Al Re
1 2 1
Cartesian
0.000 0.000 0.000 Np
1.628 1.628 1.628 Al
4.885 4.885 4.885 Al
3.257 3.257 3.257 Re

=====

PBE NpAlRe2, optimized geometry; polymorph energy (0 for the lowest one) = 0 meV per atom; DOS(E_F) = 4.322 states/eV per cell
1.0
4.360 0.000 0.000
0.000 4.360 0.000
0.000 0.000 3.461
Np Al Re
1 1 2
Cartesian
0.000 0.000 0.000 Np
2.180 2.180 0.000 Al
0.000 2.180 1.730 Re
2.180 0.000 1.730 Re

=====

| no. | raw total energy (eV/atom) |
| --- | --- |
| 1 | -10.112 |
| 2 | -7.433 |
| 3 | -6.469 |
| 4 | -10.319 |
| 5 | -6.511 |
| 6 | -5.532 |
| 7 | -6.210 |
| 8 | -5.773 |
| 9 | -5.042 |
| 10 | -5.445 |
| 11 | -8.094 |
| 12 | -10.337 |